Entry 1:
# PBE-GGA LaY2Mg3Ir2Pt, optimized geometry
data_LaY2Mg3Ir2Pt
_chemical_formula_sum 'La1 Y2 Mg3 Ir2 Pt1'
_cell_length_a 4.0722
_cell_length_b 7.3939
_cell_length_c 7.3939
_cell_angle_alpha 119.48
_cell_angle_beta 90.00
_cell_angle_gamma 90.00
_space_group_name_H-M_alt 'P 1'
_space_group_IT_number 1
_space_group_name_Hall 'P 1'
loop_
_atom_site_label
_atom_site_type_symbol
_atom_site_fract_x
_atom_site_fract_y
_atom_site_fract_z
Mg1 Mg 0.5000 0.2409 0.2409
Mg2 Mg 0.5000 0.0053 0.7550
Pt1 Pt 0.0000 0.0064 0.0064
Y1 Y 0.0000 0.4115 0.9991
Y2 Y 0.0000 0.9991 0.4115
Mg3 Mg 0.5000 0.7550 0.0053
La1 La 0.0000 0.5807 0.5807
Ir1 Ir 0.5000 0.3318 0.6693
Ir2 Ir 0.5000 0.6693 0.3318
# V (A^3/atom): 21.53
# VASP energy (eV per atom): -5.902



Entry 2:
# PBE-GGA LaMgSnIr, optimized geometry
data_LaMgSnIr
_chemical_formula_sum 'La1 Mg1 Sn1 Ir1'
_cell_length_a 5.0531
_cell_length_b 5.0531
_cell_length_c 5.0531
_cell_angle_alpha 60.00
_cell_angle_beta 60.00
_cell_angle_gamma 60.00
_space_group_name_H-M_alt 'P 1'
_space_group_IT_number 1
_space_group_name_Hall 'P 1'
loop_
_atom_site_label
_atom_site_type_symbol
_atom_site_fract_x
_atom_site_fract_y
_atom_site_fract_z
La1 La 0.2500 0.2500 0.2500
Sn1 Sn 0.0000 0.0000 0.0000
Mg1 Mg 0.7500 0.7500 0.7500
Ir1 Ir 0.5000 0.5000 0.5000
# V (A^3/atom): 22.81
# VASP energy (eV per atom): -5.161
# Offset from the most stable computed form (eV/f.u.): 0.38



Entry 3:
# PBE-GGA LaMgSnIr, optimized geometry
data_LaMgSnIr
_chemical_formula_sum 'La1 Mg1 Sn1 Ir1'
_cell_length_a 4.9466
_cell_length_b 4.9466
_cell_length_c 4.9466
_cell_angle_alpha 60.00
_cell_angle_beta 60.00
_cell_angle_gamma 60.00
_space_group_name_H-M_alt 'P 1'
_space_group_IT_number 1
_space_group_name_Hall 'P 1'
loop_
_atom_site_label
_atom_site_type_symbol
_atom_site_fract_x
_atom_site_fract_y
_atom_site_fract_z
Mg1 Mg 0.7500 0.7500 0.7500
La1 La 0.5000 0.5000 0.5000
Sn1 Sn 0.0000 0.0000 0.0000
Ir1 Ir 0.2500 0.2500 0.2500
# V (A^3/atom): 21.40
# VASP energy (eV per atom): -5.256
# Offset from the most stable computed form (eV/f.u.): 0.00



Entry 4:
# PBE-GGA LaMgSnIr, optimized geometry
data_LaMgSnIr
_chemical_formula_sum 'La1 Mg1 Sn1 Ir1'
_cell_length_a 4.9564
_cell_length_b 4.9564
_cell_length_c 4.9564
_cell_angle_alpha 60.00
_cell_angle_beta 60.00
_cell_angle_gamma 60.00
_space_group_name_H-M_alt 'P 1'
_space_group_IT_number 1
_space_group_name_Hall 'P 1'
loop_
_atom_site_label
_atom_site_type_symbol
_atom_site_fract_x
_atom_site_fract_y
_atom_site_fract_z
Sn1 Sn 0.2500 0.2500 0.2500
La1 La 0.5000 0.5000 0.5000
Ir1 Ir 0.0000 0.0000 0.0000
Mg1 Mg 0.7500 0.7500 0.7500
# V (A^3/atom): 21.52
# VASP energy (eV per atom): -5.158
# Offset from the most stable computed form (eV/f.u.): 0.39



Q: The lowest VASP energy belongs to which entry?
A: LaY2Mg3Ir2Pt



Q: Which of these has the highest VASP energy?
A: number 4



Q: Look up the VASP energy of the fourth one.
A: -5.158 eV per atom